[1]
6
Lattice="0.000 4.195 4.195 4.195 0.000 4.195 4.195 4.195 0.000" Properties=species:S:1:pos:R:3 comment="GGA-PBE Sb4RhW, optimized geometry" space_group="F-43m (216)" pbc="T T T"
Sb 1.049 1.049 1.049
Sb 3.146 3.146 1.049
Sb 3.146 1.049 3.146
Sb 1.049 3.146 3.146
Rh 4.195 4.195 4.195
W 6.292 6.292 6.292

[2]
8
Lattice="8.634 0.000 0.000 0.000 3.220 0.000 -1.278 0.000 5.430" Properties=species:S:1:pos:R:3 comment="GGA-PBE Sb2RhW, optimized geometry" space_group="C2/m (12)" polymorph_energy_kcal_per_mol_atoms=5.57 pbc="T T T"
Sb 1.824 0.000 1.384
Sb 1.214 1.610 4.046
Sb 6.141 1.610 1.384
Sb 5.532 0.000 4.046
Rh 0.000 1.610 0.000
Rh 4.317 0.000 0.000
W -0.639 0.000 2.715
W 3.678 1.610 2.715

[3]
12
Lattice="6.239 0.000 0.000 0.000 6.239 0.000 0.000 0.000 6.239" Properties=species:S:1:pos:R:3 comment="GGA-PBE SbRhW, optimized geometry" space_group="F-43m (216)" polymorph_energy_kcal_per_mol_atoms=4.73 pbc="T T T"
Sb 0.000 0.000 0.000
Sb 0.000 3.120 3.120
Sb 3.120 0.000 3.120
Sb 3.120 3.120 0.000
Rh 0.000 0.000 3.120
Rh 0.000 3.120 0.000
Rh 3.120 0.000 0.000
Rh 3.120 3.120 3.120
W 1.560 1.560 1.560
W 1.560 4.679 4.679
W 4.679 1.560 4.679
W 4.679 4.679 1.560

[4]
4
Lattice="4.634 0.000 0.000 0.000 4.634 0.000 0.000 0.000 3.385" Properties=species:S:1:pos:R:3 comment="GGA-PBE Sb2RhW, optimized geometry" space_group="P4/mmm (123)" polymorph_energy_kcal_per_mol_atoms=3.18 pbc="T T T"
Sb 0.000 2.317 0.000
Sb 2.317 0.000 0.000
Rh 0.000 0.000 1.693
W 2.317 2.317 1.693

[5]
16
Lattice="6.110 0.000 0.000 0.000 6.110 0.000 0.000 0.000 11.668" Properties=species:S:1:pos:R:3 comment="GGA-PBE Sb2RhW, optimized geometry" space_group="I-42d (122)" polymorph_energy_kcal_per_mol_atoms=15.48 pbc="T T T"
Sb 1.463 1.528 1.459
Sb 1.528 4.518 4.376
Sb 1.528 4.648 10.210
Sb 1.593 1.528 7.293
Sb 4.518 4.583 7.293
Sb 4.583 1.463 10.210
Sb 4.583 1.593 4.376
Sb 4.648 4.583 1.459
Rh 0.000 0.000 0.000
Rh 0.000 3.055 2.917
Rh 3.055 0.000 8.751
Rh 3.055 3.055 5.834
W 0.000 0.000 5.834
W 0.000 3.055 8.751
W 3.055 0.000 2.917
W 3.055 3.055 0.000

[6]
12
Lattice="3.078 0.000 0.000 -1.539 2.666 0.000 0.000 0.000 31.840" Properties=species:S:1:pos:R:3 comment="GGA-PBE Sb2RhW, optimized geometry" space_group="R3m (160)" polymorph_energy_kcal_per_mol_atoms=4.30 pbc="T T T"
Sb 0.000 0.000 0.000
Sb 0.000 0.000 6.517
Sb 0.000 1.777 21.227
Sb 0.000 1.777 27.743
Sb 1.539 0.889 10.613
Sb 1.539 0.889 17.130
Rh 0.000 0.000 14.973
Rh 0.000 1.777 4.360
Rh 1.539 0.889 25.586
W 0.000 0.000 23.529
W 0.000 1.777 12.916
W 1.539 0.889 2.302

[7]
6
Lattice="0.000 3.756 3.756 3.756 0.000 3.756 3.756 3.756 0.000" Properties=species:S:1:pos:R:3 comment="GGA-PBE SbRhW4, optimized geometry" space_group="F-43m (216)" pbc="T T T"
Sb 0.000 0.000 0.000
Rh 1.878 1.878 1.878
W 4.693 2.818 2.818
W 2.818 4.693 2.818
W 2.818 2.818 4.693
W 4.693 4.693 4.693

[8]
6
Lattice="3.017 0.000 0.000 0.000 3.017 0.000 0.000 0.000 11.638" Properties=species:S:1:pos:R:3 comment="GGA-PBE SbRhW, optimized geometry" space_group="I4mm (107)" polymorph_energy_kcal_per_mol_atoms=0.00 pbc="T T T"
Sb 0.000 0.000 0.000
Sb 1.509 1.509 5.819
Rh 0.000 0.000 7.961
Rh 1.509 1.509 2.142
W 0.000 0.000 3.751
W 1.509 1.509 9.570

Going through the records in order, we get energy relative to the elements, uncorrected values of 8.0, 1.3, 1.2, 0.9, 3.1, 1.1, 3.9, 0.6 eV/f.u..